1.
PaAl2Tl | PBE | relaxed

Results
The theoretical density is 9.2 g/cm3. As for the total energy: -4.874 eV/atom. As for the magnetic moment: 0.059 μB per cell. The value obtained for the density of states at the Fermi level is 5.636 states/eV/cell. The value obtained for the formation energy is -0.1 eV per formula unit.

a b c (Å): 4.5365 4.5365 4.2974
angles (deg): 90.00 90.00 90.00
Space group P4/mmm (No. 123)
Inequivalent atoms, fractional coordinates:
Pa 0.0000 0.0000 0.0000
Al 0.0000 0.5000 0.5000
Tl 0.5000 0.5000 0.0000

=====

2.
Sm2AgRh | PBE | relaxed

Results
The theoretical density is 8.0 g/cm3. As for the total energy: -5.335 eV/atom. As for the magnetic moment: 0.000 μB per cell. For the distance to the lowest polymorph of the same formula, the calculation gives 85 meV per atom. The value obtained for the density of states at the Fermi level is 6.415 states/eV/cell. The value obtained for the formation energy is -1.7 eV per formula unit.

a b c (Å): 4.0587 4.0587 22.4195
angles (deg): 90.00 90.00 120.00
Space group R-3m (No. 166, hexagonal axes)
Inequivalent atoms, fractional coordinates:
Sm 0.0000 0.0000 0.2366
Ag 0.0000 0.0000 0.0000
Rh 0.0000 0.0000 0.5000

=====

3.
Th2MgZn4Au3 | PBE | relaxed

Results
The theoretical density is 10.8 g/cm3. As for the total energy: -3.556 eV/atom. As for the magnetic moment: 0.001 μB per cell. The value obtained for the density of states at the Fermi level is 6.746 states/eV/cell. The value obtained for the formation energy is -4.2 eV per formula unit.

a b c (Å): 4.1344 4.1344 12.0824
angles (deg): 90.00 90.00 90.00
Space group P-4m2 (No. 115)
Inequivalent atoms, fractional coordinates:
Th 0.0000 0.5000 0.2429
Mg 0.0000 0.0000 0.5000
Zn 0.0000 0.0000 0.0000
Zn 0.0000 0.5000 0.6419
Zn 0.5000 0.5000 0.0000
Au 0.0000 0.5000 0.8571
Au 0.5000 0.5000 0.5000

=====

4.
SmTm3Sb2 | PBE | relaxed

Results
Its energy relative to the elements, uncorrected is -3.99 eV per formula unit. The theoretical density is 8.7 g/cm3. As for the total energy: -5.061 eV/atom. As for the magnetic moment: 0.000 μB per cell. The value obtained for the density of states at the Fermi level is 22.379 states/eV/cell.

a b c (Å): 18.1917 4.2824 9.6425
angles (deg): 90.00 113.40 90.00
Space group C2/m (No. 12)
Inequivalent atoms, fractional coordinates:
Sm 0.1106 0.0000 0.1193
Tm 0.0570 0.0000 0.6743
Tm 0.1417 0.5000 0.4771
Tm 0.1885 0.5000 0.8902
Sb 0.0115 0.5000 0.8449
Sb 0.2474 0.0000 0.7147

=====

5.
AgHgP2O | PBE | relaxed

Results
Its energy relative to the elements, uncorrected is 5.59 eV per formula unit. The theoretical density is 6.0 g/cm3. As for the total energy: -2.669 eV/atom. As for the magnetic moment: 1.745 μB per cell. For the distance to the lowest polymorph of the same formula, the calculation gives 236 meV per atom. The value obtained for the density of states at the Fermi level is 3.240 states/eV/cell.

a b c (Å): 5.0912 5.0912 4.1327
angles (deg): 90.00 90.00 90.00
Space group P4/mmm (No. 123)
Inequivalent atoms, fractional coordinates:
Ag 0.0000 0.0000 0.0000
Hg 0.5000 0.5000 0.5000
P 0.0000 0.5000 0.5000
O 0.5000 0.5000 0.0000

=====

6.
Mg2BeTl | PBE | relaxed

Results
The theoretical density is 5.3 g/cm3. As for the total energy: -2.004 eV/atom. As for the magnetic moment: 0.000 μB per cell. For the distance to the lowest polymorph of the same formula, the calculation gives 100 meV per atom. The value obtained for the density of states at the Fermi level is 3.718 states/eV/cell. The value obtained for the formation energy is 1.3 eV per formula unit.

a b c (Å): 9.2409 3.1251 5.9049
angles (deg): 90.00 103.66 90.00
Space group C2/m (No. 12)
Inequivalent atoms, fractional coordinates:
Mg 0.2323 0.0000 0.2112
Be 0.0000 0.5000 0.0000
Tl 0.0000 0.0000 0.5000

=====

7.
K2ZrPd | PBE | relaxed

Results
The theoretical density is 3.6 g/cm3. As for the total energy: -2.841 eV/atom. As for the magnetic moment: 11.033 μB per cell. For the distance to the lowest polymorph of the same formula, the calculation gives 435 meV per atom. The value obtained for the density of states at the Fermi level is 53.381 states/eV/cell. The value obtained for the formation energy is 4.6 eV per formula unit.

a b c (Å): 7.9786 7.9786 7.9786
angles (deg): 90.00 90.00 90.00
Space group Fm-3m (No. 225)
Inequivalent atoms, fractional coordinates:
K 0.2500 0.2500 0.2500
Zr 0.0000 0.0000 0.0000
Pd 0.0000 0.0000 0.5000

=====

8.
Pu2ThSe3 | PBE | relaxed

Results
Its energy relative to the elements, uncorrected is -9.20 eV per formula unit. The theoretical density is 10.4 g/cm3. As for the total energy: -9.289 eV/atom. As for the magnetic moment: 23.179 μB per cell. The value obtained for the density of states at the Fermi level is 38.130 states/eV/cell.

a b c (Å): 4.1353 5.8835 12.5837
angles (deg): 90.00 90.00 90.00
Space group Immm (No. 71)
Inequivalent atoms, fractional coordinates:
Pu 0.0000 0.0000 0.1655
Th 0.0000 0.0000 0.5000
Se 0.0000 0.5000 0.1719
Se 0.0000 0.5000 0.5000

=====

9.
NbZn2OsBr | PBE | relaxed

Results
Its energy relative to the elements, uncorrected is 6.64 eV per formula unit. The theoretical density is 7.2 g/cm3. As for the total energy: -3.777 eV/atom. As for the magnetic moment: 3.387 μB per cell. The value obtained for the density of states at the Fermi level is 5.153 states/eV/cell.

a b c (Å): 4.7946 4.7946 4.9437
angles (deg): 90.00 90.00 90.00
Space group P4/mmm (No. 123)
Inequivalent atoms, fractional coordinates:
Nb 0.0000 0.0000 0.0000
Zn 0.0000 0.5000 0.5000
Os 0.5000 0.5000 0.5000
Br 0.5000 0.5000 0.0000

=====

10.
PmPr3Nd2 | PBE | relaxed

Results
The theoretical density is 6.5 g/cm3. As for the total energy: -4.537 eV/atom. As for the magnetic moment: 0.000 μB per cell. For the distance to the lowest polymorph of the same formula, the calculation gives 225 meV per atom. The value obtained for the density of states at the Fermi level is 22.402 states/eV/cell. The value obtained for the formation energy is 1.4 eV per formula unit.

a b c (Å): 6.8556 18.2085 3.4834
angles (deg): 90.00 90.00 90.00
Space group Pnnm (No. 58)
Inequivalent atoms, fractional coordinates:
Pm 0.0000 0.0000 0.0000
Pr 0.0000 0.5000 0.0000
Pr 0.2334 0.1806 0.0000
Nd 0.2286 0.3493 0.5000

=====

11.
Sc2CoB10 | PBE | relaxed

Results
The theoretical density is 3.5 g/cm3. As for the total energy: -7.020 eV/atom. As for the magnetic moment: 0.000 μB per cell. The value obtained for the density of states at the Fermi level is 5.139 states/eV/cell. The value obtained for the formation energy is -4.7 eV per formula unit.

a b c (Å): 5.4273 11.0297 4.1062
angles (deg): 90.00 90.00 90.00
Space group Pbam (No. 55)
Inequivalent atoms, fractional coordinates:
Sc 0.2130 0.1215 0.0000
Co 0.0000 0.5000 0.5000
B 0.0205 0.3159 0.5000
B 0.1257 0.9585 0.5000
B 0.1646 0.8003 0.5000
B 0.1992 0.3861 0.1988

=====

12.
ZnAs2Ru2 | PBE | relaxed

Results
The theoretical density is 8.1 g/cm3. As for the total energy: -5.879 eV/atom. As for the magnetic moment: 0.000 μB per cell. For the distance to the lowest polymorph of the same formula, the calculation gives 0 meV per atom. The value obtained for the density of states at the Fermi level is 2.409 states/eV/cell. The value obtained for the formation energy is -0.3 eV per formula unit.

a b c (Å): 4.2729 4.2729 9.4204
angles (deg): 90.00 90.00 90.00
Space group I4/mmm (No. 139)
Inequivalent atoms, fractional coordinates:
Zn 0.0000 0.0000 0.0000
As 0.0000 0.0000 0.3705
Ru 0.0000 0.5000 0.2500

=====

13.
Pa2InW | PBE | relaxed

Results
The theoretical density is 13.5 g/cm3. As for the total energy: -8.567 eV/atom. As for the magnetic moment: 0.000 μB per cell. For the distance to the lowest polymorph of the same formula, the calculation gives 0 meV per atom. The value obtained for the density of states at the Fermi level is 6.166 states/eV/cell. The value obtained for the formation energy is 0.4 eV per formula unit.

a b c (Å): 3.2010 3.2010 9.1203
angles (deg): 90.00 90.00 90.00
Space group P4/mmm (No. 123)
Inequivalent atoms, fractional coordinates:
Pa 0.0000 0.0000 0.2144
In 0.5000 0.5000 0.5000
W 0.5000 0.5000 0.0000

=====

14.
Ca2CoCu | PBE | relaxed

Results
The theoretical density is 3.8 g/cm3. As for the total energy: -3.608 eV/atom. As for the magnetic moment: 1.476 μB per cell. For the distance to the lowest polymorph of the same formula, the calculation gives 113 meV per atom. The value obtained for the density of states at the Fermi level is 11.163 states/eV/cell. The value obtained for the formation energy is 0.8 eV per formula unit.

a b c (Å): 3.6809 4.4857 10.8554
angles (deg): 90.00 90.00 90.00
Space group Imm2 (No. 44)
Inequivalent atoms, fractional coordinates:
Ca 0.0000 0.0000 0.0000
Ca 0.0000 0.5000 0.2262
Co 0.0000 0.5000 0.7983
Cu 0.0000 0.0000 0.4358

=====

15.
BaLa2Pb | PBE | relaxed

Results
The theoretical density is 7.2 g/cm3. As for the total energy: -4.107 eV/atom. As for the magnetic moment: 0.009 μB per cell. The value obtained for the density of states at the Fermi level is 5.827 states/eV/cell. The value obtained for the formation energy is -0.9 eV per formula unit.

a b c (Å): 5.2758 5.2758 5.1376
angles (deg): 90.00 90.00 90.00
Space group P4/mmm (No. 123)
Inequivalent atoms, fractional coordinates:
Ba 0.0000 0.0000 0.0000
La 0.0000 0.5000 0.5000
Pb 0.5000 0.5000 0.0000

=====

16.
TaBeW | PBE | relaxed

Results
The theoretical density is 13.5 g/cm3. As for the total energy: -9.040 eV/atom. As for the magnetic moment: 0.000 μB per cell. For the distance to the lowest polymorph of the same formula, the calculation gives 627 meV per atom. The value obtained for the density of states at the Fermi level is 10.768 states/eV/cell. The value obtained for the formation energy is 1.4 eV per formula unit.

a b c (Å): 5.6932 5.6932 5.6932
angles (deg): 90.00 90.00 90.00
Space group F-43m (No. 216)
Inequivalent atoms, fractional coordinates:
Ta 0.0000 0.0000 0.0000
Be 0.2500 0.2500 0.7500
W 0.0000 0.0000 0.5000

=====

17.
CaNdCd3 | PBE | relaxed

Results
The theoretical density is 5.8 g/cm3. As for the total energy: -1.940 eV/atom. As for the magnetic moment: 0.000 μB per cell. For the distance to the lowest polymorph of the same formula, the calculation gives 284 meV per atom. The value obtained for the density of states at the Fermi level is 10.517 states/eV/cell. The value obtained for the formation energy is -0.2 eV per formula unit.

a b c (Å): 7.2306 7.2306 6.6323
angles (deg): 90.00 90.00 120.00
Space group P6_3/mmc (No. 194)
Inequivalent atoms, fractional coordinates:
Ca 0.0000 0.0000 0.0000
Nd 0.3333 0.6667 0.2500
Cd 0.2030 0.4059 0.7500

=====

18.
Rb2SbTeO | PBE | relaxed

Results
Its energy relative to the elements, uncorrected is -2.49 eV per formula unit. The theoretical density is 3.5 g/cm3. As for the total energy: -3.329 eV/atom. As for the magnetic moment: 0.000 μB per cell. The value obtained for the density of states at the Fermi level is 2.706 states/eV/cell.

a b c (Å): 7.0565 7.0565 4.1462
angles (deg): 90.00 90.00 90.00
Space group P4/mmm (No. 123)
Inequivalent atoms, fractional coordinates:
Rb 0.0000 0.5000 0.0000
Sb 0.0000 0.0000 0.0000
Te 0.5000 0.5000 0.5000
O 0.0000 0.0000 0.5000

=====

19.
ZnMoRu3 | PBE | relaxed

Results
The theoretical density is 7.7 g/cm3. As for the total energy: -6.438 eV/atom. As for the magnetic moment: 1.372 μB per cell. For the distance to the lowest polymorph of the same formula, the calculation gives 0 meV per atom. The value obtained for the density of states at the Fermi level is 4.952 states/eV/cell. The value obtained for the formation energy is 7.7 eV per formula unit.

a b c (Å): 4.6452 4.6452 4.6452
angles (deg): 90.00 90.00 90.00
Space group Pm-3m (No. 221)
Inequivalent atoms, fractional coordinates:
Zn 0.0000 0.0000 0.0000
Mo 0.5000 0.5000 0.5000
Ru 0.0000 0.5000 0.5000

=====

20.
RbGaCl3 | PBE | relaxed

Results
Its energy relative to the elements, uncorrected is -6.17 eV per formula unit. The theoretical density is 2.6 g/cm3. As for the total energy: -3.142 eV/atom. As for the magnetic moment: 3.974 μB per cell. The value obtained for the density of states at the Fermi level is 3.866 states/eV/cell.

a b c (Å): 7.5853 8.0470 10.8955
angles (deg): 90.00 95.02 90.00
Space group P2_1/c (No. 14)
Inequivalent atoms, fractional coordinates:
Rb 0.1640 0.2495 0.1788
Ga 0.3608 0.7442 0.0204
Cl 0.1060 0.6528 0.5959
Cl 0.2543 0.0101 0.4410
Cl 0.4055 0.5984 0.3467